## SrCoOs2 (PBE)

Data for crystalline SrCoOs2 at its relaxed geometry.

Geometry as CIF:
```
data_SrCoOs2
_symmetry_space_group_name_H-M 'P 1'
_symmetry_Int_Tables_number 1
_symmetry_space_group_name_Hall 'P 1'
_cell_length_a 4.541
_cell_length_b 4.541
_cell_length_c 4.541
_cell_angle_alpha 60.00
_cell_angle_beta 60.00
_cell_angle_gamma 60.00
loop_
_atom_site_label
_atom_site_fract_x
_atom_site_fract_y
_atom_site_fract_z
_atom_site_occupancy
Sr1 0.500 0.500 0.500 1
Os1 0.750 0.750 0.750 1
Os2 0.250 0.250 0.250 1
Co1 0.000 0.000 0.000 1
```

Summary:
Relative energy among the computed polymorphs in eV per atom: 1.198
Size of the total moment in μB per cell: 0.0
DFT formation energy in eV per atom: 1.465

---

## Pm2Th2N5 (PBE)

Data for crystalline Pm2Th2N5 at its relaxed geometry.

Geometry as CIF:
```
data_Pm2Th2N5
_symmetry_space_group_name_H-M 'P 1'
_symmetry_Int_Tables_number 1
_symmetry_space_group_name_Hall 'P 1'
_cell_length_a 6.853
_cell_length_b 6.782
_cell_length_c 6.967
_cell_angle_alpha 119.13
_cell_angle_beta 90.00
_cell_angle_gamma 90.00
loop_
_atom_site_label
_atom_site_fract_x
_atom_site_fract_y
_atom_site_fract_z
_atom_site_occupancy
Th1 0.336 0.164 0.000 1
Th2 0.164 0.664 0.000 1
Th3 0.836 0.336 0.000 1
Th4 0.664 0.836 0.000 1
N1 0.500 0.500 0.000 1
N2 0.350 0.972 0.266 1
N3 0.350 0.706 0.734 1
N4 0.650 0.028 0.734 1
N5 0.150 0.472 0.266 1
N6 0.650 0.294 0.266 1
N7 0.850 0.528 0.734 1
N8 0.150 0.206 0.734 1
N9 0.850 0.794 0.266 1
N10 0.000 0.000 0.000 1
Pm1 0.000 0.793 0.587 1
Pm2 0.500 0.707 0.413 1
Pm3 0.500 0.293 0.587 1
Pm4 0.000 0.207 0.413 1
```

Summary:
Uncorrected formation energy in meV/atom: -1278
Size of the total moment in μB per cell: 0.0

---

## Pr2US4 (PBE)

Data for crystalline Pr2US4 at its relaxed geometry.

Geometry as CIF:
```
data_Pr2US4
_symmetry_space_group_name_H-M 'P 1'
_symmetry_Int_Tables_number 1
_symmetry_space_group_name_Hall 'P 1'
_cell_length_a 4.042
_cell_length_b 7.054
_cell_length_c 7.054
_cell_angle_alpha 108.38
_cell_angle_beta 90.00
_cell_angle_gamma 90.00
loop_
_atom_site_label
_atom_site_fract_x
_atom_site_fract_y
_atom_site_fract_z
_atom_site_occupancy
S1 0.500 0.224 0.224 1
S2 0.500 0.776 0.776 1
S3 0.000 0.244 0.756 1
S4 0.000 0.756 0.244 1
Pr1 0.500 0.500 0.000 1
Pr2 0.500 0.000 0.500 1
U1 0.000 0.000 0.000 1
```

Summary:
Uncorrected formation energy in meV/atom: -1768
Size of the total moment in μB per cell: 2.8

---

## MgAlCd (PBE)

Data for crystalline MgAlCd at its relaxed geometry.

Geometry as CIF:
```
data_MgAlCd
_symmetry_space_group_name_H-M 'P 1'
_symmetry_Int_Tables_number 1
_symmetry_space_group_name_Hall 'P 1'
_cell_length_a 4.586
_cell_length_b 4.586
_cell_length_c 8.151
_cell_angle_alpha 73.66
_cell_angle_beta 73.66
_cell_angle_gamma 60.00
loop_
_atom_site_label
_atom_site_fract_x
_atom_site_fract_y
_atom_site_fract_z
_atom_site_occupancy
Al1 0.690 0.690 0.929 1
Al2 0.310 0.310 0.071 1
Cd1 0.187 0.187 0.438 1
Cd2 0.813 0.813 0.562 1
Mg1 0.571 0.571 0.286 1
Mg2 0.429 0.429 0.714 1
```

Summary:
Relative energy among the computed polymorphs in eV per atom: 0.112
Size of the total moment in μB per cell: 0.0
DFT formation energy in eV per atom: 0.106

---

## SrScCl (PBE)

Data for crystalline SrScCl at its relaxed geometry.

Geometry as CIF:
```
data_SrScCl
_symmetry_space_group_name_H-M 'P 1'
_symmetry_Int_Tables_number 1
_symmetry_space_group_name_Hall 'P 1'
_cell_length_a 5.019
_cell_length_b 5.019
_cell_length_c 5.019
_cell_angle_alpha 60.00
_cell_angle_beta 60.00
_cell_angle_gamma 60.00
loop_
_atom_site_label
_atom_site_fract_x
_atom_site_fract_y
_atom_site_fract_z
_atom_site_occupancy
Cl1 0.750 0.750 0.750 1
Sc1 0.000 0.000 0.000 1
Sr1 0.500 0.500 0.500 1
```

Summary:
Uncorrected formation energy in meV/atom: -266
Relative energy among the computed polymorphs in eV per atom: 0.490
Size of the total moment in μB per cell: 2.0

---

## PrSmPd (PBE)

Data for crystalline PrSmPd at its relaxed geometry.

Geometry as CIF:
```
data_PrSmPd
_symmetry_space_group_name_H-M 'P 1'
_symmetry_Int_Tables_number 1
_symmetry_space_group_name_Hall 'P 1'
_cell_length_a 4.009
_cell_length_b 4.009
_cell_length_c 6.692
_cell_angle_alpha 90.00
_cell_angle_beta 90.00
_cell_angle_gamma 120.00
loop_
_atom_site_label
_atom_site_fract_x
_atom_site_fract_y
_atom_site_fract_z
_atom_site_occupancy
Pd1 0.667 0.333 0.338 1
Pr1 0.000 0.000 0.067 1
Sm1 0.333 0.667 0.594 1
```

Summary:
Relative energy among the computed polymorphs in eV per atom: 0.158
Size of the total moment in μB per cell: 0.0
DFT formation energy in eV per atom: -0.372

---

## TlRuBr3 (PBE)

Data for crystalline TlRuBr3 at its relaxed geometry.

Geometry as CIF:
```
data_TlRuBr3
_symmetry_space_group_name_H-M 'P 1'
_symmetry_Int_Tables_number 1
_symmetry_space_group_name_Hall 'P 1'
_cell_length_a 5.206
_cell_length_b 5.206
_cell_length_c 5.206
_cell_angle_alpha 90.00
_cell_angle_beta 90.00
_cell_angle_gamma 90.00
loop_
_atom_site_label
_atom_site_fract_x
_atom_site_fract_y
_atom_site_fract_z
_atom_site_occupancy
Ru1 0.000 0.000 0.000 1
Br1 0.000 0.000 0.500 1
Br2 0.000 0.500 0.000 1
Br3 0.500 0.000 0.000 1
Tl1 0.500 0.500 0.500 1
```

Summary:
Uncorrected formation energy in meV/atom: -194
Relative energy among the computed polymorphs in eV per atom: 0.000
Size of the total moment in μB per cell: 1.6

---

## La2Tb7Ho3 (PBE)

Data for crystalline La2Tb7Ho3 at its relaxed geometry.

Geometry as CIF:
```
data_La2Tb7Ho3
_symmetry_space_group_name_H-M 'P 1'
_symmetry_Int_Tables_number 1
_symmetry_space_group_name_Hall 'P 1'
_cell_length_a 3.534
_cell_length_b 6.375
_cell_length_c 18.021
_cell_angle_alpha 75.57
_cell_angle_beta 90.00
_cell_angle_gamma 90.00
loop_
_atom_site_label
_atom_site_fract_x
_atom_site_fract_y
_atom_site_fract_z
_atom_site_occupancy
Tb1 0.500 0.937 0.834 1
Tb2 0.000 0.439 0.838 1
Tb3 0.000 0.000 0.000 1
Tb4 0.000 0.561 0.162 1
Tb5 0.500 0.241 0.502 1
Tb6 0.500 0.063 0.166 1
Tb7 0.500 0.759 0.498 1
La1 0.500 0.613 0.328 1
La2 0.500 0.387 0.672 1
Ho1 0.500 0.500 0.000 1
Ho2 0.000 0.889 0.658 1
Ho3 0.000 0.111 0.342 1
```

Summary:
Relative energy among the computed polymorphs in eV per atom: 0.000
Size of the total moment in μB per cell: 0.0
DFT formation energy in eV per atom: 0.078

---

## LiTm2Cd3 (PBE)

Data for crystalline LiTm2Cd3 at its relaxed geometry.

Geometry as CIF:
```
data_LiTm2Cd3
_symmetry_space_group_name_H-M 'P 1'
_symmetry_Int_Tables_number 1
_symmetry_space_group_name_Hall 'P 1'
_cell_length_a 3.542
_cell_length_b 3.542
_cell_length_c 11.111
_cell_angle_alpha 90.00
_cell_angle_beta 90.00
_cell_angle_gamma 90.00
loop_
_atom_site_label
_atom_site_fract_x
_atom_site_fract_y
_atom_site_fract_z
_atom_site_occupancy
Tm1 0.500 0.500 0.176 1
Tm2 0.500 0.500 0.824 1
Li1 0.500 0.500 0.500 1
Cd1 0.000 0.000 0.000 1
Cd2 0.000 0.000 0.357 1
Cd3 0.000 0.000 0.643 1
```

Summary:
Relative energy among the computed polymorphs in eV per atom: 0.000
Size of the total moment in μB per cell: 0.0
DFT formation energy in eV per atom: -0.276

---

## ReMoAs2 (PBE)

Data for crystalline ReMoAs2 at its relaxed geometry.

Geometry as CIF:
```
data_ReMoAs2
_symmetry_space_group_name_H-M 'P 1'
_symmetry_Int_Tables_number 1
_symmetry_space_group_name_Hall 'P 1'
_cell_length_a 4.017
_cell_length_b 4.017
_cell_length_c 8.991
_cell_angle_alpha 77.09
_cell_angle_beta 77.09
_cell_angle_gamma 90.00
loop_
_atom_site_label
_atom_site_fract_x
_atom_site_fract_y
_atom_site_fract_z
_atom_site_occupancy
Re1 0.000 0.000 0.000 1
Re2 0.750 0.250 0.500 1
As1 0.629 0.125 0.250 1
As2 0.121 0.625 0.250 1
As3 0.875 0.879 0.750 1
As4 0.375 0.371 0.750 1
Mo1 0.250 0.750 0.500 1
Mo2 0.500 0.500 0.000 1
```

Summary:
Relative energy among the computed polymorphs in eV per atom: 0.480
Size of the total moment in μB per cell: 0.0
DFT formation energy in eV per atom: 0.524

---

## Sr2AsPb (PBE)

Data for crystalline Sr2AsPb at its relaxed geometry.

Geometry as CIF:
```
data_Sr2AsPb
_symmetry_space_group_name_H-M 'P 1'
_symmetry_Int_Tables_number 1
_symmetry_space_group_name_Hall 'P 1'
_cell_length_a 5.852
_cell_length_b 5.852
_cell_length_c 5.219
_cell_angle_alpha 63.51
_cell_angle_beta 63.51
_cell_angle_gamma 53.12
loop_
_atom_site_label
_atom_site_fract_x
_atom_site_fract_y
_atom_site_fract_z
_atom_site_occupancy
Pb1 0.250 0.250 0.250 1
Sr1 0.500 0.500 0.499 1
Sr2 0.000 0.000 0.001 1
As1 0.750 0.750 0.750 1
```

Summary:
Relative energy among the computed polymorphs in eV per atom: 0.092
Size of the total moment in μB per cell: 0.0
DFT formation energy in eV per atom: -0.628

---

## CsGd (PBE)

Data for crystalline CsGd at its relaxed geometry.

Geometry as CIF:
```
data_CsGd
_symmetry_space_group_name_H-M 'P 1'
_symmetry_Int_Tables_number 1
_symmetry_space_group_name_Hall 'P 1'
_cell_length_a 3.925
_cell_length_b 3.925
_cell_length_c 7.473
_cell_angle_alpha 90.00
_cell_angle_beta 90.00
_cell_angle_gamma 120.00
loop_
_atom_site_label
_atom_site_fract_x
_atom_site_fract_y
_atom_site_fract_z
_atom_site_occupancy
Gd1 0.667 0.333 0.000 1
Cs1 0.000 0.000 0.500 1
```

Summary:
Size of the total moment in μB per cell: 8.5
DFT formation energy in eV per atom: 0.626

---

What did the tenth record say?
## ReMoAs2 (PBE)

Data for crystalline ReMoAs2 at its relaxed geometry.

Geometry as CIF:
```
data_ReMoAs2
_symmetry_space_group_name_H-M 'P 1'
_symmetry_Int_Tables_number 1
_symmetry_space_group_name_Hall 'P 1'
_cell_length_a 4.017
_cell_length_b 4.017
_cell_length_c 8.991
_cell_angle_alpha 77.09
_cell_angle_beta 77.09
_cell_angle_gamma 90.00
loop_
_atom_site_label
_atom_site_fract_x
_atom_site_fract_y
_atom_site_fract_z
_atom_site_occupancy
Re1 0.000 0.000 0.000 1
Re2 0.750 0.250 0.500 1
As1 0.629 0.125 0.250 1
As2 0.121 0.625 0.250 1
As3 0.875 0.879 0.750 1
As4 0.375 0.371 0.750 1
Mo1 0.250 0.750 0.500 1
Mo2 0.500 0.500 0.000 1
```

Summary:
Relative energy among the computed polymorphs in eV per atom: 0.480
Size of the total moment in μB per cell: 0.0
DFT formation energy in eV per atom: 0.524

---

> Look up the size of the total moment of the fifth one.

2.0 μB per cell

---

> Which of these has the highest size of the total moment?

CsGd